# 1
Crystalline PuTiSn2 at its relaxed geometry, computed with GGA-PBE.

The space group is P4/mmm (No. 123) and the conventional cell measures 3.680, 3.680 and 6.817 Å, with angles of 90.00, 90.00 and 90.00 degrees. The inequivalent atoms are Pu at (0.000, 0.000, 0.000), Ti at (0.000, 0.000, 0.500) and Sn at (0.500, 0.500, 0.285).

# 2
Crystalline PuTi2Sn at its relaxed geometry, computed with GGA-PBE.

The space group is Fm-3m (No. 225) and the conventional cell measures 6.816, 6.816 and 6.816 Å, with angles of 90.00, 90.00 and 90.00 degrees. The inequivalent atoms are Pu at (0.000, 0.000, 0.000), Ti at (0.250, 0.250, 0.250) and Sn at (0.000, 0.000, 0.500).

The calculation puts the energy above the lowest structure with this stoichiometry at 0.0249 eV per atom.

# 3
Crystalline PuTi2Sn at its relaxed geometry, computed with GGA-PBE.

The space group is P4/mmm (No. 123) and the conventional cell measures 4.503, 4.503 and 3.925 Å, with angles of 90.00, 90.00 and 90.00 degrees. The inequivalent atoms are Pu at (0.000, 0.000, 0.000), Ti at (0.000, 0.500, 0.500) and Sn at (0.500, 0.500, 0.000).

The calculation puts the energy above the lowest structure with this stoichiometry at 0.0000 eV per atom.

# 4
Crystalline PuTiSn2 at its relaxed geometry, computed with GGA-PBE.

The space group is R-3m (No. 166, hexagonal axes) and the conventional cell measures 3.1947, 3.1947 and 33.2144 Å, with angles of 90.00, 90.00 and 120.00 degrees. The inequivalent atoms are Pu at (0.0000, 0.0000, 0.0000), Ti at (0.0000, 0.0000, 0.5000) and Sn at (0.0000, 0.0000, 0.0964).

# 5
Crystalline PuTlSn at its relaxed geometry, computed with GGA-PBE.

The space group is P4/nmm (No. 129, origin choice 2) and the conventional cell measures 4.559, 4.559 and 8.292 Å, with angles of 90.00, 90.00 and 90.00 degrees. The inequivalent atoms are Pu at (0.250, 0.250, 0.175), Tl at (0.250, 0.750, 0.500) and Sn at (0.250, 0.250, 0.796).

The calculation puts the energy above the lowest structure with this stoichiometry at 0.0775 eV per atom.

# 6
Crystalline Pu3TlSn2 at its relaxed geometry, computed with GGA-PBE.

The space group is P4/mmm (No. 123) and the conventional cell measures 3.340, 3.340 and 14.097 Å, with angles of 90.00, 90.00 and 90.00 degrees. The inequivalent atoms are Pu at (0.000, 0.000, 0.000), Pu at (0.000, 0.000, 0.329), Tl at (0.500, 0.500, 0.500) and Sn at (0.500, 0.500, 0.165).

# 7
Crystalline PuTlSn at its relaxed geometry, computed with GGA-PBE.

The space group is P3m1 (No. 156) and the conventional cell measures 5.4022, 5.4022 and 3.1861 Å, with angles of 90.00, 90.00 and 120.00 degrees. The inequivalent atoms are Pu at (0.0000, 0.0000, 0.0000), Tl at (0.3333, 0.6667, 0.4990) and Sn at (0.6667, 0.3333, 0.5006).

The calculation puts the energy above the lowest structure with this stoichiometry at 0.0000 eV per atom.

# 8
Crystalline Pu6TlSn2 at its relaxed geometry, computed with GGA-PBE.

The space group is P6/mmm (No. 191) and the conventional cell measures 9.0089, 9.0089 and 3.3175 Å, with angles of 90.00, 90.00 and 120.00 degrees. The inequivalent atoms are Pu at (0.0000, 0.3353, 0.0000), Tl at (0.0000, 0.0000, 0.5000) and Sn at (0.3333, 0.6667, 0.5000).

# 9
Crystalline PuTl2Sn at its relaxed geometry, computed with GGA-PBE.

The space group is Fm-3m (No. 225) and the conventional cell measures 7.683, 7.683 and 7.683 Å, with angles of 90.00, 90.00 and 90.00 degrees. The inequivalent atoms are Pu at (0.000, 0.000, 0.000), Tl at (0.250, 0.250, 0.250) and Sn at (0.000, 0.000, 0.500).

The calculation puts the energy above the lowest structure with this stoichiometry at 0.1710 eV per atom.

# 10
Crystalline PuTl2Sn at its relaxed geometry, computed with GGA-PBE.

The space group is P4/mmm (No. 123) and the conventional cell measures 4.672, 4.672 and 4.896 Å, with angles of 90.00, 90.00 and 90.00 degrees. The inequivalent atoms are Pu at (0.000, 0.000, 0.000), Tl at (0.000, 0.500, 0.500) and Sn at (0.500, 0.500, 0.000).

The calculation puts the energy above the lowest structure with this stoichiometry at 0.0000 eV per atom.

# 11
Crystalline PuTlSn at its relaxed geometry, computed with GGA-PBE.

The space group is I4mm (No. 107) and the conventional cell measures 3.579, 3.579 and 12.790 Å, with angles of 90.00, 90.00 and 90.00 degrees. The inequivalent atoms are Pu at (0.000, 0.000, 0.000), Tl at (0.000, 0.000, 0.323) and Sn at (0.000, 0.000, 0.665).

The calculation puts the energy above the lowest structure with this stoichiometry at 0.0232 eV per atom.

# 12
Crystalline Pu4TlSn3 at its relaxed geometry, computed with GGA-PBE.

The space group is P4/mmm (No. 123) and the conventional cell measures 3.342, 3.342 and 18.705 Å, with angles of 90.00, 90.00 and 90.00 degrees. The inequivalent atoms are Pu at (0.000, 0.000, 0.123), Pu at (0.000, 0.000, 0.371), Tl at (0.500, 0.500, 0.500), Sn at (0.500, 0.500, 0.000) and Sn at (0.500, 0.500, 0.247).

# 13
Crystalline PuTl2Sn at its relaxed geometry, computed with GGA-PBE.

The space group is P4/mmm (No. 123) and the conventional cell measures 3.971, 3.971 and 7.047 Å, with angles of 90.00, 90.00 and 90.00 degrees. The inequivalent atoms are Pu at (0.000, 0.000, 0.000), Tl at (0.500, 0.500, 0.264) and Sn at (0.000, 0.000, 0.500).

The calculation puts the energy above the lowest structure with this stoichiometry at 0.1719 eV per atom.

# 14
Crystalline YPuTlSn at its relaxed geometry, computed with GGA-PBE.

The space group is F-43m (No. 216) and the conventional cell measures 7.599, 7.599 and 7.599 Å, with angles of 90.00, 90.00 and 90.00 degrees. The inequivalent atoms are Y at (0.000, 0.000, 0.000), Pu at (0.000, 0.000, 0.500), Tl at (0.250, 0.250, 0.250) and Sn at (0.250, 0.250, 0.750).

# 15
Crystalline TmPuSn at its relaxed geometry, computed with GGA-PBE.

The space group is P3m1 (No. 156) and the conventional cell measures 5.2135, 5.2135 and 3.4739 Å, with angles of 90.00, 90.00 and 120.00 degrees. The inequivalent atoms are Tm at (0.0000, 0.0000, 0.0000), Pu at (0.3333, 0.6667, 0.4265) and Sn at (0.6667, 0.3333, 0.7843).

The calculation puts the energy above the lowest structure with this stoichiometry at 0.2429 eV per atom.

# 16
Crystalline TmPu2Sn at its relaxed geometry, computed with GGA-PBE.

The space group is Fm-3m (No. 225) and the conventional cell measures 7.564, 7.564 and 7.564 Å, with angles of 90.00, 90.00 and 90.00 degrees. The inequivalent atoms are Tm at (0.000, 0.000, 0.000), Pu at (0.250, 0.250, 0.250) and Sn at (0.000, 0.000, 0.500).

The calculation puts the energy above the lowest structure with this stoichiometry at 0.2649 eV per atom.

# 17
Crystalline Tm8PuSn6 at its relaxed geometry, computed with GGA-PBE.

The space group is R-3 (No. 148, hexagonal axes) and the conventional cell measures 8.9504, 8.9504 and 19.2142 Å, with angles of 90.00, 90.00 and 120.00 degrees. The inequivalent atoms are Tm at (0.0000, 0.0000, 0.1672), Tm at (0.0020, 0.3240, 0.6056), Pu at (0.0000, 0.0000, 0.5000) and Sn at (0.0009, 0.3441, 0.4321).

# 18
Crystalline TmPuSn at its relaxed geometry, computed with GGA-PBE.

The space group is P6_3/mmc (No. 194) and the conventional cell measures 5.4113, 5.4113 and 6.2508 Å, with angles of 90.00, 90.00 and 120.00 degrees. The inequivalent atoms are Tm at (0.3333, 0.6667, 0.2500), Pu at (0.0000, 0.0000, 0.0000) and Sn at (0.3333, 0.6667, 0.7500).

The calculation puts the energy above the lowest structure with this stoichiometry at 0.0000 eV per atom.

# 19
Crystalline TmPuSn at its relaxed geometry, computed with GGA-PBE.

The space group is P4/mmm (No. 123) and the conventional cell measures 4.269, 4.269 and 5.949 Å, with angles of 90.00, 90.00 and 90.00 degrees. The inequivalent atoms are Tm at (0.000, 0.000, 0.000), Pu at (0.000, 0.000, 0.500) and Sn at (0.500, 0.500, 0.500).

The calculation puts the energy above the lowest structure with this stoichiometry at 1.1752 eV per atom.

# 20
Crystalline TmPu2Sn2 at its relaxed geometry, computed with GGA-PBE.

The space group is P6_3/mmc (No. 194) and the conventional cell measures 4.9389, 4.9389 and 12.9702 Å, with angles of 90.00, 90.00 and 120.00 degrees. The inequivalent atoms are Tm at (0.3333, 0.6667, 0.2500), Pu at (0.3333, 0.6667, 0.5285) and Sn at (0.0000, 0.0000, 0.1317).

no.,DFT formation energy (eV/atom),theoretical density (g/cm³),DFT total energy (eV/cell)
1,-0.2423,9.522,-31.2
2,-0.1573,9.616,-139.0
3,-0.1822,9.567,-34.9
4,0.0723,8.981,-89.8
5,-0.0166,10.927,-41.5
6,-0.2681,12.394,-55.0
7,-0.0942,11.694,-21.0
8,-0.0819,13.572,-97.1
9,0.0196,11.299,-92.0
10,-0.1514,11.987,-23.7
11,-0.0710,11.497,-41.8
12,-0.3016,12.215,-74.1
13,0.0205,11.528,-23.0
14,-0.3149,9.930,-113.7
15,-0.2214,10.796,-23.5
16,-0.0377,11.906,-149.2
17,-0.4504,8.624,-242.6
18,-0.4643,11.138,-48.4
19,0.7109,8.142,-20.7
20,-0.3227,10.840,-85.5